Material: KCaMnF6
Method: DFT, PBE+U
State: relaxed

Geometry as POSCAR:
```
KCaMnF6
1.0
-3.484 -2.115 4.000
5.266 -2.122 -0.611
3.734 7.232 7.077
K Ca Mn F
2 2 2 12
Cartesian
0.000 0.000 0.000
1.867 3.616 3.538
3.283 -0.312 2.695
2.234 3.306 7.771
0.366 -0.309 4.232
5.150 3.304 6.234
1.480 -1.578 3.301
-0.930 -1.669 4.666
6.240 1.943 5.411
6.447 4.664 5.800
1.765 0.958 3.839
1.174 -0.774 5.920
6.086 2.840 7.854
-0.723 1.052 5.055
4.343 3.769 4.546
-0.569 0.155 2.611
3.751 2.037 6.627
4.036 4.573 7.165
```

total magnetic moment: 4.00 μB per cell
theoretical density: 2.7 g/cm³
VASP energy: -94.5 eV for the cell shown